Record 1
Density functional theory data (PBE-GGA) for an optimized crystal structure of CaGe2Au6.

abc: 4.5613 4.5613 8.6027
angles: 90.00 90.00 90.00
Last column: nearest neighbours and their distance in Å.
Space group P4/mmm (No. 123)
Inequivalent atoms, fractional coordinates:
1 Ca 0.0000 0.0000 0.0000 (multiplicity 1)  8 Au 3.34, 8 Ge 3.46
2 Ge 0.5000 0.5000 0.1442 (multiplicity 2)  1 Ge 2.48, 4 Au 2.58
3 Au 0.0000 0.0000 0.5000 (multiplicity 1)  12 Au 2.94-3.23
4 Au 0.0000 0.5000 0.2835 (multiplicity 4)  2 Ge 2.58
5 Au 0.5000 0.5000 0.5000 (multiplicity 1)  12 Au 2.94-3.23, 2 Ge 3.06

Calculated values
ΔE_f = -2.21 eV per formula unit
Total magnetization = 0.00 μB/f.u.
ΔE to the lowest computed polymorph = 0.0 meV/atom

***

Record 2
Density functional theory data (PBE-GGA) for an optimized crystal structure of Ca5Ge2Au12.

abc: 15.6462 7.5821 6.9756
angles: 90.00 92.61 90.00
Last column: nearest neighbours and their distance in Å.
Space group C2/m (No. 12)
Inequivalent atoms, fractional coordinates:
1 Ca 0.0000 0.0000 0.0000 (multiplicity 2)  10 Au 3.03-3.23
2 Ca 0.1939 0.5000 0.5468 (multiplicity 4)  7 Au 3.02-3.20
3 Ca 0.2434 0.0000 0.9305 (multiplicity 4)  10 Au 3.06-3.30
4 Ge 0.0000 0.2801 0.5000 (multiplicity 4)  6 Au 2.74-2.93
5 Au 0.0587 0.5000 0.2140 (multiplicity 4)  2 Ge 2.79, 6 Au 2.81-3.00, 1 Ca 3.07
6 Au 0.1019 0.0000 0.6082 (multiplicity 4)  2 Ge 2.74, 4 Au 2.90-2.97
7 Au 0.1048 0.3057 0.8583 (multiplicity 8)  5 Au 2.90-3.00, 1 Ge 2.93, 4 Ca 3.02-3.20
8 Au 0.1517 0.1841 0.2538 (multiplicity 8)  4 Au 2.79-2.97, 2 Ca 3.06-3.07, 1 Ge 3.08

Calculated values
ΔE_f = -9.73 eV per formula unit
Total magnetization = 0.00 μB/f.u.

***

Record 3
Density functional theory data (PBE-GGA) for an optimized crystal structure of Ca5GeAu4.

abc: 3.6202 3.6202 18.4710
angles: 90.00 90.00 90.00
Last column: nearest neighbours and their distance in Å.
Space group P4/mmm (No. 123)
Inequivalent atoms, fractional coordinates:
1 Ca 0.0000 0.0000 0.0000 (multiplicity 1)  8 Au 3.14
2 Ca 0.0000 0.0000 0.1982 (multiplicity 2)  8 Au 3.15
3 Ca 0.0000 0.0000 0.3975 (multiplicity 2)  4 Au 3.16, 4 Ge 3.18
4 Ge 0.5000 0.5000 0.5000 (multiplicity 1)  8 Ca 3.18
5 Au 0.5000 0.5000 0.0988 (multiplicity 2)  8 Ca 3.14-3.15
6 Au 0.5000 0.5000 0.2972 (multiplicity 2)  8 Ca 3.15-3.16

Calculated values
ΔE_f = -7.42 eV per formula unit
Total magnetization = 0.00 μB/f.u.

***

Look up the total magnetization of the second one.
0.00 μB/f.u.